Density functional theory data (PBE-GGA) for a relaxed TcBr2 crystal.

Output
* DOS(E_F): 0.2 states/eV/f.u.
* VASP energy: -3.956 eV/atom
* M_tot: 10.00 μB/cell

Structure (CIF):
```
data_TcBr2
_space_group_name_H-M_alt 'P 63/m m c'
_space_group_IT_number 194
_space_group_name_Hall '-P 6c 2c'
_cell_length_a 4.6662
_cell_length_b 4.6662
_cell_length_c 9.0745
_cell_angle_alpha 90.00
_cell_angle_beta 90.00
_cell_angle_gamma 120.00
loop_
_atom_site_label
_atom_site_type_symbol
_atom_site_fract_x
_atom_site_fract_y
_atom_site_fract_z
Tc1 Tc 0.3333 0.6667 0.2500
Br1 Br 0.0000 0.0000 0.0000
Br2 Br 0.3333 0.6667 0.7500
```